[1]
Material: PrSmTe2S
Method: DFT, PBE
State: optimized geometry

Lattice parameters (Å, degrees): 4.509 4.509 15.965 90.00 90.00 90.00
Space group P4/nmm (No. 129, origin choice 2)
Inequivalent atoms, fractional coordinates:
Pr1 0.250 0.250 0.104 [2 per cell]
Sm1 0.250 0.250 0.613 [2 per cell]
Te1 0.250 0.250 0.407 [2 per cell]
Te2 0.250 0.250 0.799 [2 per cell]
S1 0.250 0.750 0.000 [2 per cell]

ΔE_f (raw): -145.9 kJ/mol of atoms
Crystal system: tetragonal

---

[2]
Material: Nd6NiPt2Cl3
Method: DFT, PBE
State: optimized geometry

Lattice parameters (Å, degrees): 19.179 4.155 8.845 90.00 108.38 90.00
Space group C2/m (No. 12)
Inequivalent atoms, fractional coordinates:
Nd1 0.008 0.000 0.221 [4 per cell]
Nd2 0.151 0.500 0.096 [4 per cell]
Nd3 0.176 0.500 0.561 [4 per cell]
Ni1 0.000 0.500 0.000 [2 per cell]
Pt1 0.166 0.000 0.330 [4 per cell]
Cl1 0.000 0.500 0.500 [2 per cell]
Cl2 0.163 0.000 0.830 [4 per cell]

ΔE_f (raw): -114.8 kJ/mol of atoms
Crystal system: monoclinic

---

[3]
Material: RbMnAg2Br8
Method: DFT, PBE
State: optimized geometry

Lattice parameters (Å, degrees): 6.081 6.928 9.332 86.95 73.77 83.56
Space group P-1 (No. 2)
Inequivalent atoms, fractional coordinates:
Rb1 0.000 0.000 0.000 [1 per cell]
Mn1 0.500 0.000 0.500 [1 per cell]
Ag1 0.189 0.597 0.303 [2 per cell]
Br1 0.181 0.838 0.643 [2 per cell]
Br2 0.239 0.503 0.020 [2 per cell]
Br3 0.254 0.327 0.517 [2 per cell]
Br4 0.426 0.918 0.261 [2 per cell]

ΔE_f (raw): -56.3 kJ/mol of atoms
Crystal system: triclinic

---

[4]
Material: Pm6TlPb5
Method: DFT, PBE
State: optimized geometry

Lattice parameters (Å, degrees): 5.106 9.060 8.087 90.00 108.08 90.00
Space group P2/m (No. 10)
Inequivalent atoms, fractional coordinates:
Pm1 0.000 0.249 0.000 [2 per cell]
Pm2 0.333 0.247 0.667 [4 per cell]
Tl1 0.500 0.000 0.000 [1 per cell]
Pb1 0.164 0.000 0.329 [2 per cell]
Pb2 0.167 0.500 0.334 [2 per cell]
Pb3 0.500 0.500 0.000 [1 per cell]

Formation energy: -0.490 eV/atom
Crystal system: monoclinic

---

[5]
Material: BePbOF2
Method: DFT, PBE
State: optimized geometry

Lattice parameters (Å, degrees): 4.013 4.013 3.449 90.00 90.00 90.00
Space group P4/mmm (No. 123)
Inequivalent atoms, fractional coordinates:
Be1 0.000 0.000 0.000 [1 per cell]
Pb1 0.500 0.500 0.500 [1 per cell]
O1 0.000 0.000 0.500 [1 per cell]
F1 0.000 0.500 0.000 [2 per cell]

ΔE_f (raw): -200.5 kJ/mol of atoms
Crystal system: tetragonal
Polymorph energy (0 for the lowest one): 0 meV/atom

---

[6]
Material: ThGaSb
Method: DFT, PBE
State: optimized geometry

Lattice parameters (Å, degrees): 4.282 4.282 9.028 90.00 90.00 90.00
Space group I4mm (No. 107)
Inequivalent atoms, fractional coordinates:
Th1 0.000 0.000 0.000 [2 per cell]
Ga1 0.000 0.000 0.657 [2 per cell]
Sb1 0.000 0.000 0.359 [2 per cell]

ΔE_f (raw): -33.9 kJ/mol of atoms
Crystal system: tetragonal
Polymorph energy (0 for the lowest one): 74 meV/atom

---

[7]
Material: Rb2HfU2Te6
Method: DFT, PBE
State: optimized geometry

Lattice parameters (Å, degrees): 7.475 12.899 9.273 90.00 106.41 90.00
Space group C2/m (No. 12)
Inequivalent atoms, fractional coordinates:
Rb1 0.000 0.171 0.000 [4 per cell]
Hf1 0.000 0.000 0.500 [2 per cell]
U1 0.000 0.332 0.500 [4 per cell]
Te1 0.230 0.157 0.699 [8 per cell]
Te2 0.250 0.000 0.304 [4 per cell]

ΔE_f (raw): -80.5 kJ/mol of atoms
Crystal system: monoclinic

---

[8]
Material: CaCeAlIn
Method: DFT, PBE
State: optimized geometry

Lattice parameters (Å, degrees): 7.551 7.551 7.551 90.00 90.00 90.00
Space group F-43m (No. 216)
Inequivalent atoms, fractional coordinates:
Ca1 0.000 0.000 0.000 [4 per cell]
Ce1 0.000 0.000 0.500 [4 per cell]
Al1 0.250 0.250 0.750 [4 per cell]
In1 0.250 0.250 0.250 [4 per cell]

Formation energy: -0.297 eV/atom
Crystal system: cubic

---

[9]
Material: Dy2NiS
Method: DFT, PBE
State: optimized geometry

Lattice parameters (Å, degrees): 3.8386 3.8386 20.7213 90.00 90.00 120.00
Space group R3m (No. 160, hexagonal axes)
Inequivalent atoms, fractional coordinates:
Dy1 0.0000 0.0000 0.0000 [3 per cell]
Dy2 0.0000 0.0000 0.1812 [3 per cell]
Ni1 0.0000 0.0000 0.5908 [3 per cell]
S1 0.0000 0.0000 0.7580 [3 per cell]

ΔE_f (raw): -101.9 kJ/mol of atoms
Crystal system: trigonal
Polymorph energy (0 for the lowest one): 163 meV/atom

---

[10]
Material: ThCdRu
Method: DFT, PBE
State: optimized geometry

Lattice parameters (Å, degrees): 3.508 5.508 13.940 90.00 90.00 90.00
Space group Immm (No. 71)
Inequivalent atoms, fractional coordinates:
Th1 0.000 0.000 0.184 [4 per cell]
Cd1 0.000 0.245 0.500 [4 per cell]
Ru1 0.000 0.500 0.145 [4 per cell]

Formation energy: -0.253 eV/atom
Crystal system: orthorhombic

---

VASP energy across the listed records, respectively: -5.494; -5.524; -3.018; -4.608; -5.305; -5.207; -5.682; -3.901; -5.835; -6.124 eV per atom.
Volume across the listed records, respectively: 162.3; 334.4; 375.0; 355.6; 55.5; 82.8; 428.8; 107.6; 88.1; 67.3 Å³/f.u..